Entry 1:
DFT (PBE-GGA) results for a geometry-optimized SrGeSeO2 structure.

Unit cell a=7.1153 b=7.1153 c=5.2863 alpha=90.00 beta=90.00 gamma=133.25
Closest atoms and distances in Å follow each position.
Positions (direct):
Sr  0.1231  0.8769  0.7500  4 O 2.62
Sr  0.8769  0.1231  0.2500  4 O 2.62
Ge  0.4565  0.5435  0.7500  4 O 1.89
Ge  0.5435  0.4565  0.2500  4 O 1.89
Se  0.2585  0.7415  0.2500  4 Sr 3.18-3.22
Se  0.7415  0.2585  0.7500  4 Sr 3.18-3.22
O  0.2819  0.2819  0.0000  2 Ge 1.89
O  0.2819  0.2819  0.5000  2 Ge 1.89
O  0.7181  0.7181  0.0000  2 Ge 1.89
O  0.7181  0.7181  0.5000  2 Ge 1.89

Output
- energy relative to the elements, uncorrected (eV/atom) = -1.519
- density of states at the Fermi level (states/eV/f.u.) = 2.54
- crystal system = orthorhombic
- VASP energy (eV/atom) = -5.4592

Entry 2:
DFT (PBE-GGA) results for a geometry-optimized TaGe2SeO structure.

Unit cell a=4.3298 b=4.3298 c=4.3415 alpha=90.00 beta=90.00 gamma=90.00
Closest atoms and distances in Å follow each position.
Positions (direct):
Ta  0.0000  0.0000  0.0000  4 Se 3.06, 8 Ge 3.07
Ge  0.0000  0.5000  0.5000  2 O 2.16
Ge  0.5000  0.0000  0.5000  2 O 2.16
Se  0.5000  0.5000  0.0000  2 O 2.17
O  0.5000  0.5000  0.5000  4 Ge 2.16, 2 Se 2.17

Output
- energy relative to the elements, uncorrected (eV/atom) = 0.291
- density of states at the Fermi level (states/eV/f.u.) = 2.86
- crystal system = tetragonal
- VASP energy (eV/atom) = -5.6147

Entry 3:
DFT (PBE-GGA) results for a geometry-optimized GeTeSeO2 structure.

Unit cell a=4.0164 b=4.0164 c=5.6056 alpha=90.00 beta=90.00 gamma=90.00
Closest atoms and distances in Å follow each position.
Positions (direct):
Ge  0.0000  0.0000  0.0000  4 Te 2.84
Te  0.5000  0.5000  0.0000  2 Se 2.80, 4 Ge 2.84
Se  0.5000  0.5000  0.5000  4 O 2.01
O  0.0000  0.5000  0.5000  2 Se 2.01
O  0.5000  0.0000  0.5000  2 Se 2.01

Output
- energy relative to the elements, uncorrected (eV/atom) = 0.087
- density of states at the Fermi level (states/eV/f.u.) = 0.43
- crystal system = tetragonal
- VASP energy (eV/atom) = -4.1452

Entry 4:
DFT (PBE-GGA) results for a geometry-optimized TlGeSeO6 structure.

Unit cell a=5.0186 b=5.0186 c=5.3093 alpha=90.00 beta=90.00 gamma=120.00
Closest atoms and distances in Å follow each position.
Positions (direct):
Tl  0.0000  0.0000  0.0000  6 O 2.49
Ge  0.6667  0.3333  0.5000  6 O 1.92
Se  0.3333  0.6667  0.5000  6 O 1.85
O  0.0110  0.3860  0.6979  1 Se 1.85, 1 Ge 1.92
O  0.0110  0.6249  0.3021  1 Se 1.85, 1 Ge 1.92
O  0.3751  0.3860  0.3021  1 Se 1.85, 1 Ge 1.92
O  0.3751  0.9890  0.6979  1 Se 1.85, 1 Ge 1.92
O  0.6140  0.6249  0.6979  1 Se 1.85, 1 Ge 1.92
O  0.6140  0.9890  0.3021  1 Se 1.85, 1 Ge 1.92

Output
- energy relative to the elements, uncorrected (eV/atom) = -0.897
- density of states at the Fermi level (states/eV/f.u.) = 1.77
- crystal system = trigonal
- VASP energy (eV/atom) = -5.3656

Entry 5:
DFT (PBE-GGA) results for a geometry-optimized ZnGeSeO2 structure.

Unit cell a=3.5920 b=3.5920 c=8.8677 alpha=90.00 beta=90.00 gamma=90.00
Closest atoms and distances in Å follow each position.
Positions (direct):
Zn  0.0000  0.0000  0.0000  4 Se 2.54
Ge  0.0000  0.0000  0.5000  4 O 1.80
Se  0.5000  0.5000  0.0000  4 Zn 2.54
O  0.0000  0.5000  0.5000  2 Ge 1.80
O  0.5000  0.0000  0.5000  2 Ge 1.80

Output
- energy relative to the elements, uncorrected (eV/atom) = -0.522
- density of states at the Fermi level (states/eV/f.u.) = 0.57
- crystal system = tetragonal
- VASP energy (eV/atom) = -4.3804

Entry 6:
DFT (PBE-GGA) results for a geometry-optimized ZrGe2SeO structure.

Unit cell a=4.3750 b=4.3750 c=4.4878 alpha=90.00 beta=90.00 gamma=90.00
Closest atoms and distances in Å follow each position.
Positions (direct):
Zr  0.0000  0.0000  0.0000  4 Se 3.09, 8 Ge 3.13
Ge  0.0000  0.5000  0.5000  2 O 2.19
Ge  0.5000  0.0000  0.5000  2 O 2.19
Se  0.5000  0.5000  0.0000  2 O 2.24
O  0.5000  0.5000  0.5000  4 Ge 2.19, 2 Se 2.24

Output
- energy relative to the elements, uncorrected (eV/atom) = -0.200
- density of states at the Fermi level (states/eV/f.u.) = 1.97
- crystal system = tetragonal
- VASP energy (eV/atom) = -5.4449